# GGA-PBE HoAlIr, relaxed
data_HoAlIr
_cell_length_a 6.522
_cell_length_b 6.522
_cell_length_c 6.522
_cell_angle_alpha 90.00
_cell_angle_beta 90.00
_cell_angle_gamma 90.00
_symmetry_space_group_name_H-M 'F -4 3 m'
_symmetry_Int_Tables_number 216
_symmetry_space_group_name_Hall 'F -4 2 3'
loop_
_atom_site_label
_atom_site_type_symbol
_atom_site_fract_x
_atom_site_fract_y
_atom_site_fract_z
Ho1 Ho 0.000 0.000 0.000
Al1 Al 0.250 0.250 0.750
Ir1 Ir 0.250 0.250 0.250
# spin magnetization: 0.0 μB/f.u.
# electronic total energy: -5.51 eV/atom
# V: 277.47 Å³/cell